[1]
VASP calculation (GGA-PBEsol) on a relaxed structure of PrMgAg.

Output
Space group: P-62m
Magnetization: 0.00 Bohr magnetons per cell
Calculated volume: 24.52 Å³/atom
Formation energy: -252 meV per atom
Total DFT energy (no corrections): -3.657 eV/atom

Cell: 4.3098 7.6898 7.6898 Å, 120.00 90.00 90.00°
Fractional positions:
Pr 0.5000 0.4162 0.4162
Pr 0.5000 0.0000 0.5838
Mg 0.0000 0.2397 0.0000
Mg 0.0000 0.0000 0.2397
Ag 0.0000 0.3333 0.6667
Ag 0.0000 0.6667 0.3333
Ag 0.5000 0.0000 0.0000
Mg 0.0000 0.7603 0.7603
Pr 0.5000 0.5838 0.0000

=====

[2]
VASP calculation (GGA-PBEsol) on a relaxed structure of GaCoSe3.

Output
Space group: Pm-3m
Magnetization: 2.05 Bohr magnetons per cell
Formation energy from raw total energies: 0.233 eV per atom
Calculated volume: 20.34 Å³/atom
Total DFT energy (no corrections): -4.292 eV/atom

Cell: 4.6679 4.6679 4.6679 Å, 90.00 90.00 90.00°
Site moments in Bohr magnetons follow the coordinates.
Fractional positions:
Ga 0.5000 0.5000 0.5000  0.07
Co 0.0000 0.0000 0.0000  1.09
Se 0.0000 0.0000 0.5000  0.18
Se 0.0000 0.5000 0.0000  0.18
Se 0.5000 0.0000 0.0000  0.18

=====

[3]
VASP calculation (GGA-PBEsol) on a relaxed structure of V2Cu3Bi4O14.

Output
Space group: P-1
Magnetization: 1.01 Bohr magnetons per cell
Formation energy from raw total energies: -1.452 eV per atom
Calculated volume: 13.18 Å³/atom
Total DFT energy (no corrections): -6.796 eV/atom

Cell: 5.2625 8.0954 7.9218 Å, 74.23 88.50 69.41°
Site moments in Bohr magnetons follow the coordinates.
Fractional positions:
Bi 0.8831 0.2126 0.3055  0.00
O 0.6457 0.6661 0.6554  -0.01
O 0.2152 0.0514 0.1566  0.04
O 0.2988 0.9146 0.8633  0.02
Cu 0.0000 0.0000 0.0000  -0.39
O 0.7848 0.9486 0.8434  0.04
Bi 0.4064 0.1479 0.6484  -0.01
O 0.5416 0.6107 0.1757  0.04
O 0.9791 0.3640 0.9203  0.06
O 0.0209 0.6360 0.0797  0.06
Cu 0.6525 0.7672 0.9845  0.48
O 0.8774 0.3080 0.5992  0.01
Bi 0.1169 0.7874 0.6945  0.00
O 0.3543 0.3339 0.3446  -0.01
O 0.2462 0.9993 0.5012  0.00
V 0.7472 0.4293 0.7483  0.04
O 0.1226 0.6920 0.4008  0.01
Bi 0.5936 0.8521 0.3516  -0.01
O 0.4584 0.3893 0.8243  0.04
O 0.7012 0.0854 0.1367  0.02
O 0.7538 0.0007 0.4988  0.00
V 0.2528 0.5707 0.2517  0.04
Cu 0.3475 0.2328 0.0155  0.48

=====

[4]
VASP calculation (GGA-PBEsol) on a relaxed structure of PrAgAs2.

Output
Space group: Pnma
Magnetization: 0.00 Bohr magnetons per cell
Calculated volume: 21.29 Å³/atom
Formation energy: -808 meV per atom
Total DFT energy (no corrections): -5.485 eV/atom

Cell: 4.0302 4.0506 20.8703 Å, 90.00 90.00 90.00°
Fractional positions:
Pr 0.2500 0.7745 0.6163
Ag 0.2500 0.2238 0.2501
As 0.7500 0.7061 0.4987
Ag 0.2500 0.2762 0.7501
As 0.2500 0.7244 0.3375
Ag 0.7500 0.7238 0.2499
Pr 0.2500 0.7255 0.1163
As 0.2500 0.2939 0.5013
Ag 0.7500 0.7762 0.7499
As 0.7500 0.2244 0.1625
As 0.2500 0.7756 0.8375
As 0.2500 0.2061 0.0013
As 0.7500 0.7939 0.9987
As 0.7500 0.2756 0.6625
Pr 0.7500 0.2745 0.8837
Pr 0.7500 0.2255 0.3837

=====

[5]
VASP calculation (GGA-PBEsol) on a relaxed structure of RbZr2SeN.

Output
Space group: P4/mmm
Magnetization: 0.00 Bohr magnetons per cell
Formation energy from raw total energies: 1.953 eV per atom
Calculated volume: 20.95 Å³/atom
Total DFT energy (no corrections): -4.363 eV/atom

Cell: 4.0712 5.0723 5.0723 Å, 90.00 90.00 90.00°
Fractional positions:
Se 0.5000 0.5000 0.5000
Zr 0.0000 0.5000 0.0000
Zr 0.0000 0.0000 0.5000
Rb 0.0000 0.0000 0.0000
N 0.5000 0.0000 0.0000

=====

[6]
VASP calculation (GGA-PBEsol) on a relaxed structure of Nb3FeC.

Output
Space group: Pm-3m
Magnetization: 0.00 Bohr magnetons per cell
Calculated volume: 17.85 Å³/atom
Formation energy: 1829 meV per atom
Total DFT energy (no corrections): -8.385 eV/atom

Cell: 4.4690 4.4690 4.4690 Å, 90.00 90.00 90.00°
Fractional positions:
Nb 0.5000 0.0000 0.0000
Fe 0.0000 0.0000 0.0000
C 0.5000 0.5000 0.5000
Nb 0.0000 0.5000 0.0000
Nb 0.0000 0.0000 0.5000